# 1
A relaxed Mg5Cd24 crystal. Source: the Alexandria database, functional PBE-GGA.

```
data_Mg5Cd24
_chemical_formula_sum 'Mg10 Cd48'
_space_group_name_H-M_alt 'I -4 3 m'
_space_group_IT_number 217
_space_group_name_Hall 'I -4 2 3'
_cell_length_a 10.930
_cell_length_b 10.930
_cell_length_c 10.930
_cell_angle_alpha 90.00
_cell_angle_beta 90.00
_cell_angle_gamma 90.00
loop_
_atom_site_label
_atom_site_fract_x
_atom_site_fract_y
_atom_site_fract_z
Mg1 0.000 0.000 0.000
Mg2 0.179 0.179 0.179
Cd1 0.048 0.362 0.638
Cd2 0.093 0.093 0.716
```

Output
- E_form (eV per atom) = -0.0042
- M_tot (μB per formula unit) = 0.000
- E_tot (eV per atom) = -1.04
- crystal system = cubic
- Fermi-level density of states (states/eV/f.u.) = 14.888

# 2
A relaxed Mg8Cd3 crystal. Source: the Alexandria database, functional PBE-GGA.

```
data_Mg8Cd3
_chemical_formula_sum 'Mg24 Cd9'
_space_group_name_H-M_alt 'R -3'
_space_group_IT_number 148
_space_group_name_Hall '-R 3'
_cell_length_a 9.2580
_cell_length_b 9.2580
_cell_length_c 11.5105
_cell_angle_alpha 90.00
_cell_angle_beta 90.00
_cell_angle_gamma 120.00
loop_
_atom_site_label
_atom_site_fract_x
_atom_site_fract_y
_atom_site_fract_z
Mg1 0.0000 0.0000 0.1383
Mg2 0.0362 0.2274 0.6064
Cd1 0.0000 0.5000 0.5000
```

Output
- E_form (eV per atom) = 0.1733
- polymorph energy (0 for the lowest one) (eV per atom) = 0.218
- M_tot (μB per formula unit) = 0.000
- E_tot (eV per atom) = -1.24
- crystal system = trigonal
- Fermi-level density of states (states/eV/f.u.) = 3.914

# 3
A relaxed Mg17Cd12 crystal. Source: the Alexandria database, functional PBE-GGA.

```
data_Mg17Cd12
_chemical_formula_sum 'Mg34 Cd24'
_space_group_name_H-M_alt 'I -4 3 m'
_space_group_IT_number 217
_space_group_name_Hall 'I -4 2 3'
_cell_length_a 10.871
_cell_length_b 10.871
_cell_length_c 10.871
_cell_angle_alpha 90.00
_cell_angle_beta 90.00
_cell_angle_gamma 90.00
loop_
_atom_site_label
_atom_site_fract_x
_atom_site_fract_y
_atom_site_fract_z
Mg1 0.000 0.000 0.000
Mg2 0.046 0.360 0.360
Mg3 0.170 0.170 0.830
Cd1 0.094 0.094 0.287
```

Output
- E_form (eV per atom) = -0.0587
- M_tot (μB per formula unit) = 0.000
- E_tot (eV per atom) = -1.37
- crystal system = cubic
- Fermi-level density of states (states/eV/f.u.) = 15.274

# 4
A relaxed MgCd crystal. Source: the Alexandria database, functional PBE-GGA.

```
data_MgCd
_chemical_formula_sum 'Mg2 Cd2'
_space_group_name_H-M_alt 'P 63/m m c'
_space_group_IT_number 194
_space_group_name_Hall '-P 6c 2c'
_cell_length_a 4.4734
_cell_length_b 4.4734
_cell_length_c 5.9014
_cell_angle_alpha 90.00
_cell_angle_beta 90.00
_cell_angle_gamma 120.00
loop_
_atom_site_label
_atom_site_fract_x
_atom_site_fract_y
_atom_site_fract_z
Mg1 0.3333 0.6667 0.2500
Cd1 0.0000 0.0000 0.0000
```

Output
- E_form (eV per atom) = 0.0799
- M_tot (μB per formula unit) = 0.000
- E_tot (eV per atom) = -1.17
- crystal system = hexagonal
- Fermi-level density of states (states/eV/f.u.) = 1.061

# 5
A relaxed Mg2Cd crystal. Source: the Alexandria database, functional PBE-GGA.

```
data_Mg2Cd
_chemical_formula_sum 'Mg2 Cd1'
_space_group_name_H-M_alt 'P 6/m m m'
_space_group_IT_number 191
_space_group_name_Hall '-P 6 2'
_cell_length_a 5.1183
_cell_length_b 5.1183
_cell_length_c 2.9727
_cell_angle_alpha 90.00
_cell_angle_beta 90.00
_cell_angle_gamma 120.00
loop_
_atom_site_label
_atom_site_fract_x
_atom_site_fract_y
_atom_site_fract_z
Mg1 0.3333 0.6667 0.0000
Cd1 0.0000 0.0000 0.5000
```

Output
- E_form (eV per atom) = 0.0401
- M_tot (μB per formula unit) = 0.000
- E_tot (eV per atom) = -1.33
- crystal system = hexagonal
- Fermi-level density of states (states/eV/f.u.) = 0.806

# 6
A relaxed MgCd crystal. Source: the Alexandria database, functional PBE-GGA.

```
data_MgCd
_chemical_formula_sum 'Mg6 Cd6'
_space_group_name_H-M_alt 'A m m 2'
_space_group_IT_number 38
_cell_length_a 5.207
_cell_length_b 9.340
_cell_length_c 5.339
_cell_angle_alpha 90.00
_cell_angle_beta 90.00
_cell_angle_gamma 90.00
loop_
_space_group_symop_operation_xyz
'x,y,z'
'-x,-y,z'
'-x,y,z'
'x,-y,z'
'x,y+1/2,z+1/2'
'-x,-y+1/2,z+1/2'
'-x,y+1/2,z+1/2'
'x,-y+1/2,z+1/2'
loop_
_atom_site_label
_atom_site_fract_x
_atom_site_fract_y
_atom_site_fract_z
Mg1 0.000 0.000 0.000
Mg2 0.500 0.169 0.189
Cd1 0.000 0.167 0.504
Cd2 0.500 0.000 0.689
```

Output
- E_form (eV per atom) = -0.0802
- M_tot (μB per formula unit) = 0.000
- E_tot (eV per atom) = -1.34
- crystal system = orthorhombic
- Fermi-level density of states (states/eV/f.u.) = 0.638

# 7
A relaxed MgCd3 crystal. Source: the Alexandria database, functional PBE-GGA.

```
data_MgCd3
_chemical_formula_sum 'Mg4 Cd12'
_space_group_name_H-M_alt 'P n m a'
_space_group_IT_number 62
_cell_length_a 5.378
_cell_length_b 10.207
_cell_length_c 6.442
_cell_angle_alpha 90.00
_cell_angle_beta 90.00
_cell_angle_gamma 90.00
loop_
_space_group_symop_operation_xyz
'x,y,z'
'-x,-y,-z'
'-x+1/2,-y,z+1/2'
'x+1/2,y,-z+1/2'
'x+1/2,-y+1/2,-z+1/2'
'-x+1/2,y+1/2,z+1/2'
'-x,y+1/2,-z'
'x,-y+1/2,z'
loop_
_atom_site_label
_atom_site_fract_x
_atom_site_fract_y
_atom_site_fract_z
Mg1 0.079 0.250 0.116
Cd1 0.076 0.250 0.622
Cd2 0.250 0.005 0.372
```

Output
- E_form (eV per atom) = -0.0482
- polymorph energy (0 for the lowest one) (eV per atom) = 0.023
- M_tot (μB per formula unit) = 0.000
- E_tot (eV per atom) = -1.13
- crystal system = orthorhombic
- Fermi-level density of states (states/eV/f.u.) = 0.894

# 8
A relaxed Mg4Cd3 crystal. Source: the Alexandria database, functional PBE-GGA.

```
data_Mg4Cd3
_chemical_formula_sum 'Mg24 Cd18'
_space_group_name_H-M_alt 'R -3'
_space_group_IT_number 148
_space_group_name_Hall '-R 3'
_cell_length_a 13.1396
_cell_length_b 13.1396
_cell_length_c 6.1055
_cell_angle_alpha 90.00
_cell_angle_beta 90.00
_cell_angle_gamma 120.00
loop_
_atom_site_label
_atom_site_fract_x
_atom_site_fract_y
_atom_site_fract_z
Mg1 0.0000 0.0000 0.0000
Mg2 0.0000 0.0000 0.5000
Mg3 0.0502 0.8037 0.1788
Cd1 0.0484 0.8162 0.6855
```

Output
- E_form (eV per atom) = -0.0823
- polymorph energy (0 for the lowest one) (eV per atom) = 0.002
- M_tot (μB per formula unit) = 0.000
- E_tot (eV per atom) = -1.39
- crystal system = trigonal
- Fermi-level density of states (states/eV/f.u.) = 2.212

# 9
A relaxed Mg5Cd crystal. Source: the Alexandria database, functional PBE-GGA.

```
data_Mg5Cd
_chemical_formula_sum 'Mg5 Cd1'
_space_group_name_H-M_alt 'P -6 2 m'
_space_group_IT_number 189
_space_group_name_Hall 'P -6 -2'
_cell_length_a 5.4688
_cell_length_b 5.4688
_cell_length_c 5.1449
_cell_angle_alpha 90.00
_cell_angle_beta 90.00
_cell_angle_gamma 120.00
loop_
_atom_site_label
_atom_site_fract_x
_atom_site_fract_y
_atom_site_fract_z
Mg1 0.0000 0.6712 0.0000
Mg2 0.3333 0.6667 0.5000
Cd1 0.0000 0.0000 0.5000
```

Output
- E_form (eV per atom) = -0.0423
- M_tot (μB per formula unit) = 0.000
- E_tot (eV per atom) = -1.52
- crystal system = hexagonal
- Fermi-level density of states (states/eV/f.u.) = 2.415

# 10
A relaxed MgCd3 crystal. Source: the Alexandria database, functional PBE-GGA.

```
data_MgCd3
_chemical_formula_sum 'Mg2 Cd6'
_space_group_name_H-M_alt 'C 1 2/m 1'
_space_group_IT_number 12
_cell_length_a 9.995
_cell_length_b 3.253
_cell_length_c 5.566
_cell_angle_alpha 90.00
_cell_angle_beta 101.09
_cell_angle_gamma 90.00
loop_
_space_group_symop_operation_xyz
'x,y,z'
'-x,-y,-z'
'-x,y,-z'
'x,-y,z'
'x+1/2,y+1/2,z'
'-x+1/2,-y+1/2,-z'
'-x+1/2,y+1/2,-z'
'x+1/2,-y+1/2,z'
loop_
_atom_site_label
_atom_site_fract_x
_atom_site_fract_y
_atom_site_fract_z
Mg1 0.000 0.000 0.000
Cd1 0.000 0.500 0.500
Cd2 0.248 0.500 0.246
```

Output
- E_form (eV per atom) = -0.0546
- polymorph energy (0 for the lowest one) (eV per atom) = 0.016
- M_tot (μB per formula unit) = 0.000
- E_tot (eV per atom) = -1.14
- crystal system = monoclinic
- Fermi-level density of states (states/eV/f.u.) = 1.274

# 11
A relaxed Mg5Cd4 crystal. Source: the Alexandria database, functional PBE-GGA.

```
data_Mg5Cd4
_chemical_formula_sum 'Mg10 Cd8'
_space_group_name_H-M_alt 'I 4/m m m'
_space_group_IT_number 139
_space_group_name_Hall '-I 4 2'
_cell_length_a 9.611
_cell_length_b 9.611
_cell_length_c 4.278
_cell_angle_alpha 90.00
_cell_angle_beta 90.00
_cell_angle_gamma 90.00
loop_
_atom_site_label
_atom_site_fract_x
_atom_site_fract_y
_atom_site_fract_z
Mg1 0.000 0.000 0.000
Mg2 0.000 0.330 0.000
Cd1 0.166 0.166 0.500
```

Output
- E_form (eV per atom) = -0.0694
- polymorph energy (0 for the lowest one) (eV per atom) = 0.008
- M_tot (μB per formula unit) = 0.000
- E_tot (eV per atom) = -1.36
- crystal system = tetragonal
- Fermi-level density of states (states/eV/f.u.) = 3.749

# 12
A relaxed MgCd crystal. Source: the Alexandria database, functional PBE-GGA.

```
data_MgCd
_chemical_formula_sum 'Mg8 Cd8'
_space_group_name_H-M_alt 'I -4 3 m'
_space_group_IT_number 217
_space_group_name_Hall 'I -4 2 3'
_cell_length_a 8.831
_cell_length_b 8.831
_cell_length_c 8.831
_cell_angle_alpha 90.00
_cell_angle_beta 90.00
_cell_angle_gamma 90.00
loop_
_atom_site_label
_atom_site_fract_x
_atom_site_fract_y
_atom_site_fract_z
Mg1 0.200 0.200 0.200
Cd1 0.122 0.122 0.878
```

Output
- E_form (eV per atom) = 0.4483
- M_tot (μB per formula unit) = 0.000
- E_tot (eV per atom) = -0.81
- crystal system = cubic
- Fermi-level density of states (states/eV/f.u.) = 1.271